Entry from Alexandria via LeMat-Bulk: an optimized crystal structure of LaTbHoEr (PBE).

DFT formation energy   0.11 eV per atom
Calculated volume   264 Å³/cell
Crystal system   monoclinic
Total magnetization   0.00 μB per cell

a = 12.424 Å, b = 5.858 Å, c = 3.805 Å
α = 90.00°, β = 107.70°, γ = 90.00°
Sites, in units of the cell vectors:
La  0.000  0.000  0.000
La  0.500  0.500  0.000
Tb  0.235  0.500  0.205
Tb  0.735  0.000  0.205
Ho  0.258  0.000  0.729
Ho  0.758  0.500  0.729
Er  0.495  0.000  0.478
Er  0.995  0.500  0.478


Entry from Alexandria via LeMat-Bulk: an optimized crystal structure of K2TlSi (PBE).

Energy above the lowest structure with this stoichiometry   0.249 eV per atom
Calculated volume   134 Å³/cell
Uncorrected formation energy   0.357 eV/atom
Crystal system   tetragonal
Total magnetization   0.00 μB per cell

a = 5.529 Å, b = 5.529 Å, c = 4.386 Å
α = 90.00°, β = 90.00°, γ = 90.00°
Sites, in units of the cell vectors:
K  0.000  0.500  0.000
K  0.500  0.000  0.000
Tl  0.000  0.000  0.500
Si  0.500  0.500  0.500


Entry from Alexandria via LeMat-Bulk: an optimized crystal structure of LaTeOs2 (PBE).

Calculated volume   178 Å³/cell
Uncorrected formation energy   0.341 eV/atom
Crystal system   orthorhombic
Total magnetization   0.00 μB per cell

a = 4.572 Å, b = 5.241 Å, c = 7.438 Å
α = 90.00°, β = 90.00°, γ = 90.00°
Sites, in units of the cell vectors:
La  0.000  0.000  0.000
La  0.500  0.500  0.000
Te  0.000  0.500  0.684
Te  0.500  0.000  0.684
Os  0.000  0.000  0.415
Os  0.000  0.500  0.287
Os  0.500  0.000  0.287
Os  0.500  0.500  0.415


Entry from Alexandria via LeMat-Bulk: an optimized crystal structure of NaNp2ScTe4 (PBE).

Calculated volume   235 Å³/cell
Uncorrected formation energy   -0.792 eV/atom
Crystal system   monoclinic
Total magnetization   0.04 μB per cell

a = 7.490 Å, b = 4.336 Å, c = 7.681 Å
α = 90.00°, β = 109.26°, γ = 90.00°
Sites, in units of the cell vectors:
Na  0.000  0.000  0.000
Np  0.500  0.000  0.500
Np  0.500  0.500  0.000
Sc  0.000  0.500  0.500
Te  0.236  0.000  0.740
Te  0.241  0.500  0.257
Te  0.759  0.500  0.743
Te  0.764  0.000  0.260


Entry from Alexandria via LeMat-Bulk: an optimized crystal structure of Ni2CI (PBE).

Energy above the lowest structure with this stoichiometry   0.036 eV per atom
Calculated volume   140 Å³/cell
Uncorrected formation energy   0.265 eV/atom
Crystal system   triclinic
Total magnetization   0.00 μB per cell

a = 3.896 Å, b = 3.946 Å, c = 9.836 Å
α = 82.96°, β = 87.55°, γ = 69.09°
Sites, in units of the cell vectors:
Ni  0.000  0.000  0.000
Ni  0.199  0.338  0.794
Ni  0.570  0.694  0.853
Ni  0.800  0.998  0.644
C  0.049  0.846  0.819
C  0.723  0.183  0.827
I  0.162  0.385  0.508
I  0.525  0.868  0.162


Entry from Alexandria via LeMat-Bulk: an optimized crystal structure of La2ScMo (PBE).

DFT formation energy   0.25 eV per atom
Energy above the lowest structure with this stoichiometry   0.000 eV per atom
Calculated volume   108 Å³/cell
Crystal system   tetragonal
Total magnetization   0.00 μB per cell

a = 3.736 Å, b = 3.736 Å, c = 7.726 Å
α = 90.00°, β = 90.00°, γ = 90.00°
Sites, in units of the cell vectors:
La  0.000  0.000  0.000
La  0.500  0.500  0.343
Sc  0.500  0.500  0.739
Mo  0.000  0.000  0.595


Number 1: E -36.50 eV for the cell shown. Number 2: E -8.55 eV for the cell shown. Number 3: E -58.33 eV for the cell shown. Number 4: E -52.43 eV for the cell shown. Number 5: E -42.55 eV for the cell shown. Number 6: E -26.02 eV for the cell shown.